# 1
DFT (PBE) results for crystalline Tb3Er7 at its relaxed geometry.

Output
DOS(E_F) in states/eV/cell: 37.7
Offset from the most stable computed form in meV per atom: 178
Magnetization in μB per formula unit: 0.00
Formation enthalpy at 0 K in eV/atom: 0.20

Cell lengths 6.372, 10.655, 10.655 Å; angles 120.00, 90.00, 90.00 degrees
Atoms (fractional coordinates):
Er 0.885 0.879 0.759
Tb 0.367 0.794 0.206
Er 0.712 0.529 0.058
Er 0.212 0.471 0.529
Tb 0.867 0.206 0.412
Er 0.885 0.879 0.121
Er 0.515 0.333 0.667
Er 0.015 0.667 0.333
Tb 0.867 0.206 0.794
Er 0.885 0.241 0.121
Er 0.212 0.058 0.529
Tb 0.367 0.794 0.588
Tb 0.367 0.412 0.206
Er 0.385 0.121 0.241
Er 0.212 0.471 0.942
Er 0.712 0.942 0.471
Tb 0.867 0.588 0.794
Er 0.712 0.529 0.471
Er 0.385 0.121 0.879
Er 0.385 0.759 0.879

***

# 2
DFT (PBE) results for crystalline Tb2Er7 at its relaxed geometry.

Output
DOS(E_F) in states/eV/cell: 16.9
Offset from the most stable computed form in meV per atom: 15
Magnetization in μB per formula unit: 1.97
Formation enthalpy at 0 K in eV/atom: 0.04

Cell lengths 3.529, 9.548, 9.548 Å; angles 120.00, 90.00, 90.00 degrees
Last column: magnetic moment on the atom in μB.
Atoms (fractional coordinates):
Tb 0.000 0.333 0.667  0.07
Er 0.500 0.640 0.000  0.14
Er 0.000 0.305 0.000  0.21
Er 0.500 0.000 0.000  0.35
Tb 0.000 0.667 0.333  0.07
Er 0.000 0.000 0.305  0.21
Er 0.500 0.000 0.640  0.14
Er 0.000 0.695 0.695  0.21
Er 0.500 0.360 0.360  0.14

***

# 3
DFT (PBE) results for crystalline TbEr4 at its relaxed geometry.

Output
DOS(E_F) in states/eV/cell: 16.9
Offset from the most stable computed form in meV per atom: 27
Magnetization in μB per formula unit: 0.00
Formation enthalpy at 0 K in eV/atom: 0.05

Cell lengths 6.943, 6.386, 9.345 Å; angles 63.72, 68.19, 57.07 degrees
Atoms (fractional coordinates):
Er 0.305 0.610 0.780
Er 0.850 0.200 0.601
Er 0.650 0.800 0.399
Er 0.350 0.200 0.601
Er 0.695 0.390 0.220
Tb 0.250 0.000 0.000
Er 0.150 0.800 0.399
Er 0.805 0.610 0.780
Tb 0.750 0.000 0.000
Er 0.195 0.390 0.220

***

# 4
DFT (PBE) results for crystalline TbEr2 at its relaxed geometry.

Output
DOS(E_F) in states/eV/cell: 10.5
Offset from the most stable computed form in meV per atom: 0
Magnetization in μB per formula unit: 0.00
Formation enthalpy at 0 K in eV/atom: 0.00

Cell lengths 6.220, 6.646, 6.222 Å; angles 62.06, 60.01, 62.10 degrees
Atoms (fractional coordinates):
Er 0.583 0.249 0.418
Er 0.417 0.751 0.582
Er 0.251 0.251 0.082
Er 0.749 0.749 0.918
Tb 0.916 0.250 0.750
Tb 0.084 0.750 0.250

***

# 5
DFT (PBE) results for crystalline TbEr5 at its relaxed geometry.

Output
DOS(E_F) in states/eV/cell: 7.6
Magnetization in μB per formula unit: 0.00
Formation enthalpy at 0 K in eV/atom: 0.02

Cell lengths 3.497, 7.862, 7.008 Å; angles 102.91, 90.00, 102.85 degrees
Atoms (fractional coordinates):
Er 0.361 0.723 0.223
Er 0.361 0.723 0.722
Er 0.694 0.389 0.389
Tb 0.694 0.389 0.889
Er 0.027 0.055 0.555
Er 0.028 0.055 0.056

***

# 6
DFT (PBE) results for crystalline Tb7Er3 at its relaxed geometry.

Output
DOS(E_F) in states/eV/cell: 36.6
Offset from the most stable computed form in meV per atom: 184
Magnetization in μB per formula unit: 0.85
Formation enthalpy at 0 K in eV/atom: 0.20

Cell lengths 6.238, 10.861, 10.861 Å; angles 120.00, 90.00, 90.00 degrees
Last column: magnetic moment on the atom in μB.
Atoms (fractional coordinates):
Er 0.365 0.786 0.571  0.06
Tb 0.985 0.667 0.333  0.03
Tb 0.233 0.058 0.529  0.03
Tb 0.377 0.118 0.236  0.10
Tb 0.233 0.471 0.529  0.03
Er 0.865 0.214 0.429  0.06
Tb 0.877 0.882 0.118  0.10
Tb 0.377 0.118 0.882  0.10
Tb 0.377 0.764 0.882  0.10
Tb 0.733 0.529 0.058  0.03
Tb 0.877 0.882 0.764  0.10
Tb 0.233 0.471 0.942  0.03
Tb 0.485 0.333 0.667  0.03
Er 0.865 0.571 0.786  0.06
Tb 0.877 0.236 0.118  0.10
Er 0.865 0.214 0.786  0.06
Er 0.365 0.786 0.214  0.06
Er 0.365 0.429 0.214  0.06
Tb 0.733 0.529 0.471  0.03
Tb 0.733 0.942 0.471  0.03

***

# 7
DFT (PBE) results for crystalline Tb5Er2 at its relaxed geometry.

Output
DOS(E_F) in states/eV/cell: 18.5
Offset from the most stable computed form in meV per atom: 109
Magnetization in μB per formula unit: 0.01
Formation enthalpy at 0 K in eV/atom: 0.15

Cell lengths 5.634, 5.634, 8.716 Å; angles 71.14, 71.14, 60.00 degrees
Atoms (fractional coordinates):
Er 0.646 0.646 0.061
Er 0.354 0.354 0.939
Tb 0.500 0.500 0.500
Tb 0.788 0.788 0.635
Tb 0.070 0.070 0.791
Tb 0.930 0.930 0.209
Tb 0.212 0.212 0.365

***

# 8
DFT (PBE) results for crystalline Tb6Er at its relaxed geometry.

Output
DOS(E_F) in states/eV/cell: 18.7
Offset from the most stable computed form in meV per atom: 0
Magnetization in μB per formula unit: 0.00
Formation enthalpy at 0 K in eV/atom: 0.27

Cell lengths 6.462, 6.462, 11.007 Å; angles 90.00, 90.00, 90.00 degrees
Atoms (fractional coordinates):
Tb 0.832 0.332 0.638
Tb 0.168 0.668 0.638
Tb 0.168 0.332 0.362
Tb 0.668 0.832 0.638
Er 0.000 0.500 0.000
Tb 0.500 0.500 0.861
Tb 0.332 0.832 0.362
Tb 0.832 0.668 0.362
Tb 0.332 0.168 0.638
Tb 0.668 0.168 0.362
Tb 0.500 0.500 0.139
Er 0.500 0.000 0.000
Tb 0.000 0.000 0.139
Tb 0.000 0.000 0.861

***

# 9
DFT (PBE) results for crystalline TbEr4 at its relaxed geometry.

Output
DOS(E_F) in states/eV/cell: 7.0
Offset from the most stable computed form in meV per atom: 0
Magnetization in μB per formula unit: 0.00
Formation enthalpy at 0 K in eV/atom: 0.02

Cell lengths 3.510, 3.510, 14.414 Å; angles 83.14, 83.14, 60.06 degrees
Atoms (fractional coordinates):
Er 0.200 0.200 0.400
Er 0.800 0.800 0.600
Er 0.400 0.400 0.799
Tb 0.000 0.000 0.000
Er 0.600 0.600 0.201

***

# 10
DFT (PBE) results for crystalline Tb8Er3 at its relaxed geometry.

Output
DOS(E_F) in states/eV/cell: 11.7
Offset from the most stable computed form in meV per atom: 0
Magnetization in μB per formula unit: 0.00
Formation enthalpy at 0 K in eV/atom: 0.40

Cell lengths 7.480, 7.480, 7.480 Å; angles 105.78, 105.78, 105.78 degrees
Atoms (fractional coordinates):
Er 0.000 0.500 0.500
Er 0.500 0.000 0.500
Tb 0.738 0.738 0.738
Tb 0.686 0.181 0.065
Tb 0.065 0.686 0.181
Tb 0.181 0.065 0.686
Er 0.500 0.500 0.000
Tb 0.262 0.262 0.262
Tb 0.314 0.819 0.935
Tb 0.819 0.935 0.314
Tb 0.935 0.314 0.819

***

# 11
DFT (PBE) results for crystalline Tb13Er2 at its relaxed geometry.

Output
DOS(E_F) in states/eV/cell: 24.9
Offset from the most stable computed form in meV per atom: 0
Magnetization in μB per formula unit: 0.00
Formation enthalpy at 0 K in eV/atom: 0.07

Cell lengths 6.600, 8.917, 8.918 Å; angles 114.05, 81.75, 98.27 degrees
Atoms (fractional coordinates):
Tb 0.308 0.042 0.639
Tb 0.104 0.559 0.757
Tb 0.294 0.372 0.976
Tb 0.896 0.441 0.243
Tb 0.000 0.000 0.000
Tb 0.803 0.199 0.798
Tb 0.494 0.832 0.835
Tb 0.692 0.958 0.361
Tb 0.398 0.601 0.402
Tb 0.706 0.628 0.024
Er 0.097 0.224 0.425
Er 0.903 0.776 0.575
Tb 0.197 0.801 0.202
Tb 0.506 0.168 0.165
Tb 0.602 0.399 0.598

***

# 12
DFT (PBE) results for crystalline Tb6Er at its relaxed geometry.

Output
DOS(E_F) in states/eV/cell: 6.3
Offset from the most stable computed form in meV per atom: 1212
Magnetization in μB per formula unit: 0.00
Formation enthalpy at 0 K in eV/atom: 1.48

Cell lengths 6.929, 6.929, 6.929 Å; angles 109.47, 109.47, 109.47 degrees
Atoms (fractional coordinates):
Tb 0.250 0.500 0.750
Tb 0.500 0.250 0.750
Tb 0.500 0.750 0.250
Er 0.000 0.000 0.000
Tb 0.750 0.500 0.250
Tb 0.750 0.250 0.500
Tb 0.250 0.750 0.500

***

# 13
DFT (PBE) results for crystalline Tb5Er2 at its relaxed geometry.

Output
DOS(E_F) in states/eV/cell: 10.7
Offset from the most stable computed form in meV per atom: 0
Magnetization in μB per formula unit: 0.00
Formation enthalpy at 0 K in eV/atom: 0.04

Cell lengths 3.510, 9.847, 11.160 Å; angles 48.79, 51.10, 57.72 degrees
Atoms (fractional coordinates):
Tb 0.474 0.409 0.707
Tb 0.253 0.720 0.834
Er 0.351 0.859 0.430
Er 0.649 0.141 0.570
Tb 0.000 0.000 0.000
Tb 0.526 0.591 0.293
Tb 0.747 0.280 0.166

***

# 14
DFT (PBE) results for crystalline Tb2Er at its relaxed geometry.

Output
DOS(E_F) in states/eV/cell: 8.1
Offset from the most stable computed form in meV per atom: 0
Magnetization in μB per formula unit: 0.00
Formation enthalpy at 0 K in eV/atom: 0.02

Cell lengths 4.992, 6.123, 7.071 Å; angles 106.80, 90.00, 114.05 degrees
Atoms (fractional coordinates):
Er 0.167 0.333 0.083
Tb 0.167 0.334 0.584
Er 0.833 0.667 0.917
Tb 0.500 0.999 0.249
Tb 0.500 0.001 0.751
Tb 0.833 0.666 0.416

***

# 15
DFT (PBE) results for crystalline TbEr4 at its relaxed geometry.

Output
DOS(E_F) in states/eV/cell: 7.0
Offset from the most stable computed form in meV per atom: 718
Magnetization in μB per formula unit: 0.00
Formation enthalpy at 0 K in eV/atom: 0.74

Cell lengths 5.559, 5.559, 5.559 Å; angles 90.00, 90.00, 90.00 degrees
Atoms (fractional coordinates):
Er 0.500 0.000 0.500
Er 0.000 0.000 0.000
Er 0.000 0.500 0.500
Tb 0.500 0.500 0.500
Er 0.500 0.500 0.000

***

# 16
DFT (PBE) results for crystalline TbEr2 at its relaxed geometry.

Output
DOS(E_F) in states/eV/cell: 11.7
Offset from the most stable computed form in meV per atom: 274
Magnetization in μB per formula unit: 0.52
Formation enthalpy at 0 K in eV/atom: 0.28

Cell lengths 6.510, 6.510, 6.510 Å; angles 60.00, 60.00, 60.00 degrees
Last column: magnetic moment on the atom in μB.
Atoms (fractional coordinates):
Er 0.625 0.125 0.625  0.05
Tb 0.250 0.250 0.250  0.22
Er 0.125 0.625 0.625  0.05
Er 0.625 0.625 0.125  0.05
Er 0.625 0.625 0.625  0.05
Tb 0.000 0.000 0.000  0.22

***

# 17
DFT (PBE) results for crystalline TbEr5 at its relaxed geometry.

Output
DOS(E_F) in states/eV/cell: 16.0
Magnetization in μB per formula unit: 0.00
Formation enthalpy at 0 K in eV/atom: 0.02

Cell lengths 6.080, 7.024, 10.495 Å; angles 90.00, 90.00, 125.31 degrees
Atoms (fractional coordinates):
Tb 0.750 0.500 0.250
Er 0.750 0.000 0.250
Er 0.750 0.000 0.917
Tb 0.250 0.500 0.750
Er 0.750 0.000 0.583
Er 0.250 0.500 0.417
Er 0.250 0.500 0.083
Er 0.750 0.500 0.583
Er 0.250 0.000 0.417
Er 0.250 0.000 0.750
Er 0.250 0.000 0.083
Er 0.750 0.500 0.917

***

# 18
DFT (PBE) results for crystalline Tb6Er5 at its relaxed geometry.

Output
DOS(E_F) in states/eV/cell: 12.8
Magnetization in μB per formula unit: 0.00
Formation enthalpy at 0 K in eV/atom: 0.14

Cell lengths 9.166, 7.921, 6.205 Å; angles 79.67, 71.95, 54.64 degrees
Atoms (fractional coordinates):
Tb 0.684 0.270 0.165
Er 0.627 0.745 0.000
Er 0.500 0.000 0.500
Tb 0.829 0.000 0.677
Er 0.759 0.481 0.500
Tb 0.954 0.730 0.165
Tb 0.046 0.270 0.835
Tb 0.171 0.000 0.323
Er 0.373 0.255 0.000
Tb 0.316 0.730 0.835
Er 0.241 0.519 0.500

***

# 19
DFT (PBE) results for crystalline TbEr2 at its relaxed geometry.

Output
DOS(E_F) in states/eV/cell: 4.0
Offset from the most stable computed form in meV per atom: 18
Magnetization in μB per formula unit: 0.00
Formation enthalpy at 0 K in eV/atom: 0.02

Cell lengths 3.512, 3.512, 7.878 Å; angles 102.88, 102.88, 90.00 degrees
Atoms (fractional coordinates):
Tb 0.000 0.000 0.000
Er 0.333 0.333 0.665
Er 0.667 0.667 0.335

***

# 20
DFT (PBE) results for crystalline Tb2Er at its relaxed geometry.

Output
DOS(E_F) in states/eV/cell: 9.2
Offset from the most stable computed form in meV per atom: 243
Magnetization in μB per formula unit: 0.00
Formation enthalpy at 0 K in eV/atom: 0.26

Cell lengths 6.527, 6.527, 6.527 Å; angles 60.00, 60.00, 60.00 degrees
Atoms (fractional coordinates):
Tb 0.625 0.625 0.625
Tb 0.625 0.625 0.125
Tb 0.625 0.125 0.625
Er 0.250 0.250 0.250
Er 0.000 0.000 0.000
Tb 0.125 0.625 0.625